DFT (GGA-PBE) results for a relaxed structure of Mg6In2Ga.

**Relative energy among the computed polymorphs**: 49 meV/atom

Unit cell a=8.4433 b=8.4433 c=5.2745 alpha=99.20 beta=99.20 gamma=141.82
Closest atoms and distances in Å follow each position.
Fractional coordinates of all 9 atoms:
Mg 0.0139 0.3349 0.3389  1 Ga 3.00, 4 In 3.05-3.25, 5 Mg 3.08-3.22
Mg 0.1799 0.1799 0.8411  3 Ga 3.03-3.28, 5 Mg 3.08-3.16, 2 In 3.12
Mg 0.3349 0.0139 0.3389  1 Ga 3.00, 4 In 3.05-3.25, 5 Mg 3.08-3.22
Mg 0.6651 0.9861 0.6611  1 Ga 3.00, 4 In 3.05-3.25, 5 Mg 3.08-3.22
Mg 0.8201 0.8201 0.1589  3 Ga 3.03-3.28, 5 Mg 3.08-3.16, 2 In 3.12
Mg 0.9861 0.6651 0.6611  1 Ga 3.00, 4 In 3.05-3.25, 5 Mg 3.08-3.22
In 0.3302 0.6698 0.0000  10 Mg 3.05-3.25
In 0.6698 0.3302 0.0000  10 Mg 3.05-3.25
Ga 0.5000 0.5000 0.5000  10 Mg 3.00-3.28

***

DFT (GGA-PBE) results for a relaxed structure of Mg4In4Ga.

**Relative energy among the computed polymorphs**: 0 meV/atom

Unit cell a=7.2150 b=7.2150 c=7.2150 alpha=95.35 beta=95.35 gamma=144.43
Closest atoms and distances in Å follow each position.
Fractional coordinates of all 9 atoms:
Mg 0.1625 0.1625 0.3250  6 In 3.13-3.28, 2 Ga 3.14, 4 Mg 3.16-3.26
Mg 0.1625 0.8375 0.0000  6 In 3.13-3.28, 2 Ga 3.14, 4 Mg 3.16-3.26
Mg 0.8375 0.1625 0.0000  6 In 3.13-3.28, 2 Ga 3.14, 4 Mg 3.16-3.26
Mg 0.8375 0.8375 0.6750  6 In 3.13-3.28, 2 Ga 3.14, 4 Mg 3.16-3.26
In 0.1765 0.5000 0.6765  6 Mg 3.13-3.28, 1 Ga 3.14, 5 In 3.28-3.43
In 0.5000 0.1765 0.6765  6 Mg 3.13-3.28, 1 Ga 3.14, 5 In 3.28-3.43
In 0.5000 0.8235 0.3235  6 Mg 3.13-3.28, 1 Ga 3.14, 5 In 3.28-3.43
In 0.8235 0.5000 0.3235  6 Mg 3.13-3.28, 1 Ga 3.14, 5 In 3.28-3.43
Ga 0.5000 0.5000 0.0000  8 Mg 3.14, 4 In 3.14

***

DFT (GGA-PBE) results for a relaxed structure of Mg6InGa5.

**Relative energy among the computed polymorphs**: 0 meV/atom

Unit cell a=8.0797 b=8.0797 c=4.4158 alpha=105.30 beta=105.30 gamma=110.58
Closest atoms and distances in Å follow each position.
Fractional coordinates of all 12 atoms:
Mg 0.0700 0.4081 0.7374  7 Ga 2.92-3.10, 4 Mg 3.07-3.15, 1 In 3.09
Mg 0.2307 0.2307 0.2292  6 Ga 2.88-3.08, 2 In 3.08-3.15, 4 Mg 3.15
Mg 0.4081 0.0700 0.7374  7 Ga 2.92-3.10, 4 Mg 3.07-3.15, 1 In 3.09
Mg 0.5919 0.9300 0.2626  7 Ga 2.92-3.10, 4 Mg 3.07-3.15, 1 In 3.09
Mg 0.7693 0.7693 0.7708  6 Ga 2.88-3.08, 2 In 3.08-3.15, 4 Mg 3.15
Mg 0.9300 0.5919 0.2626  7 Ga 2.92-3.10, 4 Mg 3.07-3.15, 1 In 3.09
In 0.5000 0.5000 0.0000  8 Mg 3.08-3.15, 4 Ga 3.09
Ga 0.0000 0.0000 0.5000  8 Mg 2.88-2.97, 4 Ga 3.21
Ga 0.1754 0.8246 0.0000  8 Mg 2.92-2.99, 4 Ga 3.08-3.21
Ga 0.3370 0.6630 0.5000  8 Mg 2.96-3.10, 2 Ga 3.08, 2 In 3.09
Ga 0.6630 0.3370 0.5000  8 Mg 2.96-3.10, 2 Ga 3.08, 2 In 3.09
Ga 0.8246 0.1754 0.0000  8 Mg 2.92-2.99, 4 Ga 3.08-3.21

***

DFT (GGA-PBE) results for a relaxed structure of Mg2In5Ga6.

Unit cell a=9.2484 b=9.2484 c=9.2484 alpha=47.46 beta=47.46 gamma=47.46
Closest atoms and distances in Å follow each position.
Fractional coordinates of all 13 atoms:
Mg 0.1112 0.1112 0.1112  1 In 2.73, 6 Ga 2.84
Mg 0.8888 0.8888 0.8888  1 In 2.73, 6 Ga 2.84
In 0.0000 0.0000 0.0000  2 Mg 2.73
In 0.2603 0.2603 0.2603  6 Ga 3.39, 1 In 3.64, 1 Mg 3.66
In 0.4084 0.4084 0.4084  6 Ga 3.34, 1 In 3.64
In 0.5916 0.5916 0.5916  6 Ga 3.34, 1 In 3.64
In 0.7397 0.7397 0.7397  6 Ga 3.39, 1 In 3.64, 1 Mg 3.66
Ga 0.1694 0.5000 0.8306  3 Ga 2.46-2.52
Ga 0.1694 0.8306 0.5000  3 Ga 2.46-2.52
Ga 0.5000 0.1694 0.8306  3 Ga 2.46-2.52
Ga 0.5000 0.8306 0.1694  3 Ga 2.46-2.52
Ga 0.8306 0.1694 0.5000  3 Ga 2.46-2.52
Ga 0.8306 0.5000 0.1694  3 Ga 2.46-2.52

***

DFT (GGA-PBE) results for a relaxed structure of Mg3InGa3.

**Relative energy among the computed polymorphs**: 486 meV/atom

Unit cell a=7.5595 b=7.5595 c=7.5595 alpha=90.00 beta=90.00 gamma=90.00
Closest atoms and distances in Å follow each position.
Fractional coordinates of all 14 atoms:
Mg 0.0000 0.2500 0.5000  4 Ga 2.67
Mg 0.0000 0.7500 0.5000  4 Ga 2.67
Mg 0.2500 0.5000 0.0000  4 Ga 2.67
Mg 0.5000 0.0000 0.2500  4 Ga 2.67
Mg 0.5000 0.0000 0.7500  4 Ga 2.67
Mg 0.7500 0.5000 0.0000  4 Ga 2.67
In 0.0000 0.0000 0.0000  12 Mg 4.23, 12 Ga 4.23
In 0.5000 0.5000 0.5000  12 Mg 4.23, 12 Ga 4.23
Ga 0.0000 0.5000 0.2500  4 Mg 2.67
Ga 0.0000 0.5000 0.7500  4 Mg 2.67
Ga 0.2500 0.0000 0.5000  4 Mg 2.67
Ga 0.5000 0.2500 0.0000  4 Mg 2.67
Ga 0.5000 0.7500 0.0000  4 Mg 2.67
Ga 0.7500 0.0000 0.5000  4 Mg 2.67

***

DFT (GGA-PBE) results for a relaxed structure of Mg5In5Ga.

Unit cell a=7.0408 b=7.0408 c=9.7221 alpha=110.96 beta=110.96 gamma=45.62
Closest atoms and distances in Å follow each position.
Fractional coordinates of all 11 atoms:
Mg 0.0000 0.0000 0.0000  4 In 2.90-2.92
Mg 0.2720 0.2720 0.1476  4 In 2.96-3.01, 1 Mg 3.25
Mg 0.2722 0.2722 0.6391  4 In 2.94-3.00, 1 Ga 3.26
Mg 0.7278 0.7278 0.3609  4 In 2.94-3.00, 1 Ga 3.26
Mg 0.7280 0.7280 0.8524  4 In 2.96-3.01, 1 Mg 3.25
In 0.1247 0.1247 0.3202  1 Ga 2.81, 5 Mg 2.90-3.00, 1 In 3.08
In 0.1327 0.1327 0.8172  1 Ga 2.89, 5 Mg 2.92-3.01, 1 In 3.08
In 0.5000 0.5000 0.5000  2 Ga 2.73
In 0.8673 0.8673 0.1828  1 Ga 2.89, 5 Mg 2.92-3.01, 1 In 3.08
In 0.8753 0.8753 0.6798  1 Ga 2.81, 5 Mg 2.90-3.00, 1 In 3.08
Ga 0.0000 0.0000 0.5000  6 In 2.73-2.89

***

DFT (GGA-PBE) results for a relaxed structure of Mg7In2Ga2.

**Relative energy among the computed polymorphs**: 0 meV/atom

Unit cell a=5.6156 b=5.6156 c=8.2915 alpha=100.36 beta=100.36 gamma=101.81
Closest atoms and distances in Å follow each position.
Fractional coordinates of all 11 atoms:
Mg 0.0000 0.0000 0.0000  2 Ga 2.75, 2 Mg 3.01
Mg 0.0958 0.4736 0.8289  2 Ga 2.80-3.00, 1 In 3.07
Mg 0.1244 0.1244 0.3789  1 Ga 2.93, 2 Mg 3.01-3.03, 4 In 3.06-3.07
Mg 0.4736 0.0958 0.8289  2 Ga 2.80-3.00, 1 In 3.07
Mg 0.5264 0.9042 0.1711  2 Ga 2.80-3.00, 1 In 3.07
Mg 0.8756 0.8756 0.6211  1 Ga 2.93, 2 Mg 3.01-3.03, 4 In 3.06-3.07
Mg 0.9042 0.5264 0.1711  2 Ga 2.80-3.00, 1 In 3.07
In 0.3053 0.6947 0.5000  6 Mg 3.06-3.07, 2 Ga 3.13, 1 In 3.39
In 0.6947 0.3053 0.5000  6 Mg 3.06-3.07, 2 Ga 3.13, 1 In 3.39
Ga 0.3943 0.3943 0.1694  6 Mg 2.75-3.00
Ga 0.6057 0.6057 0.8306  6 Mg 2.75-3.00

***

DFT (GGA-PBE) results for a relaxed structure of MgInGa.

Unit cell a=4.8062 b=4.8062 c=3.3443 alpha=90.00 beta=90.00 gamma=120.00
Closest atoms and distances in Å follow each position.
Fractional coordinates of all 3 atoms:
Mg 0.0000 0.0000 0.0000  6 Ga 3.15-3.33, 6 In 3.20-3.28, 2 Mg 3.34
In 0.3333 0.6667 0.5244  3 Ga 2.79
Ga 0.6667 0.3333 0.4472  3 In 2.79

***

DFT (GGA-PBE) results for a relaxed structure of MgInGa.

Unit cell a=5.5244 b=5.5244 c=6.2681 alpha=106.19 beta=106.19 gamma=46.32
Closest atoms and distances in Å follow each position.
Fractional coordinates of all 6 atoms:
Mg 0.1572 0.1572 0.3243  5 Ga 3.07-3.32, 5 In 3.09-3.18, 2 Mg 3.26
Mg 0.8428 0.8428 0.6757  5 Ga 3.07-3.32, 5 In 3.09-3.18, 2 Mg 3.26
In 0.1653 0.1653 0.8214  5 Ga 3.09-3.24, 5 Mg 3.09-3.18, 2 In 3.22
In 0.8347 0.8347 0.1786  5 Ga 3.09-3.24, 5 Mg 3.09-3.18, 2 In 3.22
Ga 0.5000 0.5000 0.0000  4 Mg 3.07, 2 Ga 3.13, 6 In 3.15-3.24
Ga 0.5000 0.5000 0.5000  4 In 3.09, 6 Mg 3.09-3.32, 2 Ga 3.13

***

DFT (GGA-PBE) results for a relaxed structure of Mg3In6Ga2.

Unit cell a=14.8919 b=14.8919 c=14.8919 alpha=163.14 beta=163.14 gamma=23.93
Closest atoms and distances in Å follow each position.
Fractional coordinates of all 11 atoms:
Mg 0.0000 0.0000 0.0000  8 In 3.07
Mg 0.1609 0.1609 0.0000  5 In 3.00-3.35, 4 Ga 3.13
Mg 0.8391 0.8391 0.0000  5 In 3.00-3.35, 4 Ga 3.13
In 0.0739 0.5739 0.5000  2 Ga 2.97, 2 Mg 3.07, 4 In 3.09
In 0.2638 0.2638 0.0000  1 Ga 2.72, 1 Mg 3.00
In 0.4261 0.9261 0.5000  2 Ga 2.97, 2 Mg 3.07, 4 In 3.09
In 0.5739 0.0739 0.5000  2 Ga 2.97, 2 Mg 3.07, 4 In 3.09
In 0.7362 0.7362 0.0000  1 Ga 2.72, 1 Mg 3.00
In 0.9261 0.4261 0.5000  2 Ga 2.97, 2 Mg 3.07, 4 In 3.09
Ga 0.3573 0.3573 0.0000  5 In 2.72-2.97
Ga 0.6427 0.6427 0.0000  5 In 2.72-2.97

***

DFT (GGA-PBE) results for a relaxed structure of Mg12In6Ga.

Unit cell a=7.6556 b=7.6556 c=7.6556 alpha=90.66 beta=90.66 gamma=90.66
Closest atoms and distances in Å follow each position.
Fractional coordinates of all 19 atoms:
Mg 0.0280 0.9385 0.3004  4 In 2.99-3.14, 4 Mg 3.11-3.22
Mg 0.0615 0.6996 0.9720  4 In 2.99-3.14, 4 Mg 3.11-3.22
Mg 0.1367 0.4637 0.3552  1 Ga 2.99, 4 Mg 3.12-3.15, 5 In 3.15-3.34
Mg 0.3004 0.0280 0.9385  4 In 2.99-3.14, 4 Mg 3.11-3.22
Mg 0.3552 0.1367 0.4637  1 Ga 2.99, 4 Mg 3.12-3.15, 5 In 3.15-3.34
Mg 0.4637 0.3552 0.1367  1 Ga 2.99, 4 Mg 3.12-3.15, 5 In 3.15-3.34
Mg 0.5363 0.6448 0.8633  1 Ga 2.99, 4 Mg 3.12-3.15, 5 In 3.15-3.34
Mg 0.6448 0.8633 0.5363  1 Ga 2.99, 4 Mg 3.12-3.15, 5 In 3.15-3.34
Mg 0.6996 0.9720 0.0615  4 In 2.99-3.14, 4 Mg 3.11-3.22
Mg 0.8633 0.5363 0.6448  1 Ga 2.99, 4 Mg 3.12-3.15, 5 In 3.15-3.34
Mg 0.9385 0.3004 0.0280  4 In 2.99-3.14, 4 Mg 3.11-3.22
Mg 0.9720 0.0616 0.6996  4 In 2.99-3.14, 4 Mg 3.11-3.22
In 0.2210 0.3830 0.7748  9 Mg 2.99-3.34, 1 Ga 3.15, 2 In 3.28
In 0.2252 0.7790 0.6170  9 Mg 2.99-3.34, 1 Ga 3.15, 2 In 3.28
In 0.3830 0.7748 0.2210  9 Mg 2.99-3.34, 1 Ga 3.15, 2 In 3.28
In 0.6170 0.2252 0.7790  9 Mg 2.99-3.34, 1 Ga 3.15, 2 In 3.28
In 0.7748 0.2210 0.3830  9 Mg 2.99-3.34, 1 Ga 3.15, 2 In 3.28
In 0.7790 0.6170 0.2252  9 Mg 2.99-3.34, 1 Ga 3.15, 2 In 3.28
Ga 0.5000 0.5000 0.5000  6 Mg 2.99, 6 In 3.15

***

DFT (GGA-PBE) results for a relaxed structure of Mg2In3Ga2.

**Relative energy among the computed polymorphs**: 50 meV/atom

Unit cell a=10.5968 b=10.5968 c=10.5968 alpha=162.67 beta=152.49 gamma=32.70
Closest atoms and distances in Å follow each position.
Fractional coordinates of all 7 atoms:
Mg 0.1404 0.1404 0.0000  2 Ga 2.93, 7 In 3.17-3.27, 2 Mg 3.19
Mg 0.8596 0.8596 0.0000  2 Ga 2.93, 7 In 3.17-3.27, 2 Mg 3.19
In 0.0000 0.5000 0.5000  2 In 3.19, 4 Mg 3.27, 8 Ga 3.28
In 0.2962 0.2962 0.0000  5 Mg 3.17-3.25, 6 In 3.19-3.53, 2 Ga 3.21
In 0.7038 0.7038 0.0000  5 Mg 3.17-3.25, 6 In 3.19-3.53, 2 Ga 3.21
Ga 0.4330 0.9330 0.5000  1 Ga 2.73, 2 Mg 2.93
Ga 0.5670 0.0670 0.5000  1 Ga 2.73, 2 Mg 2.93

***

Record-wise ΔE_f values, in eV per atom: -0.050; -0.059; -0.123; 0.195; 0.449; 0.122; -0.069; -0.009; -0.027; 0.020; -0.023; 0.005